# 1
## Tb3Sm6Er2Th (PBE)

Data for a geometry-optimized Tb3Sm6Er2Th structure.

Summary:
Its formation enthalpy at 0 K is 0.34 eV/f.u. The value obtained for the total energy is -4.868 eV/atom.

Cell: 6.2105 6.2105 11.9149 Å, 95.00 95.00 119.93°
Sites, in units of the cell vectors:
Tb 0.0000 0.0000 0.0000
Tb 0.3330 0.6670 0.0000
Tb 0.6670 0.3330 0.0000
Sm 0.0858 0.4162 0.2514
Sm 0.2535 0.2535 0.7484
Sm 0.4162 0.0858 0.2514
Sm 0.5838 0.9142 0.7486
Sm 0.7465 0.7465 0.2516
Sm 0.9142 0.5838 0.7486
Er 0.1666 0.8334 0.5000
Er 0.8334 0.1666 0.5000
Th 0.5000 0.5000 0.5000

# 2
## ErHCl2 (PBE)

Data for a geometry-optimized ErHCl2 structure.

Summary:
The value obtained for the total energy is -4.675 eV/atom.

Cell: 3.7075 3.7075 21.2206 Å, 90.00 90.00 120.00°
Sites, in units of the cell vectors:
Er 0.0000 0.0000 0.0000
Er 0.3333 0.6667 0.6667
Er 0.6667 0.3333 0.3333
H 0.0000 0.0000 0.6666
H 0.3333 0.6667 0.3333
H 0.6667 0.3333 0.0000
Cl 0.0000 0.0000 0.2510
Cl 0.0000 0.0000 0.4157
Cl 0.3333 0.6667 0.0823
Cl 0.3333 0.6667 0.9176
Cl 0.6667 0.3333 0.5843
Cl 0.6667 0.3333 0.7490

# 3
## ThSi2Ag2 (PBE)

Data for a geometry-optimized ThSi2Ag2 structure.

Summary:
The value obtained for the total energy is -5.179 eV/atom.

Cell: 11.4697 11.4697 11.4697 Å, 158.98 158.89 29.97°
Sites, in units of the cell vectors:
Th 0.3275 0.0775 0.2500
Th 0.6725 0.9225 0.7500
Si 0.1191 0.3691 0.7500
Si 0.2244 0.4744 0.7500
Si 0.7756 0.5256 0.2500
Si 0.8809 0.6309 0.2500
Ag 0.0493 0.7993 0.2500
Ag 0.4531 0.7031 0.7500
Ag 0.5469 0.2969 0.2500
Ag 0.9507 0.2007 0.7500

# 4
## SmNpIrPt (PBE)

Data for a geometry-optimized SmNpIrPt structure.

Summary:
Its formation enthalpy at 0 K is -2.21 eV/f.u. The value obtained for the total energy is -8.694 eV/atom.

Cell: 6.9886 6.9886 6.9886 Å, 90.00 90.00 90.00°
Sites, in units of the cell vectors:
Sm 0.0000 0.0000 0.0000
Sm 0.0000 0.5000 0.5000
Sm 0.5000 0.0000 0.5000
Sm 0.5000 0.5000 0.0000
Np 0.0000 0.0000 0.5000
Np 0.0000 0.5000 0.0000
Np 0.5000 0.0000 0.0000
Np 0.5000 0.5000 0.5000
Ir 0.2500 0.2500 0.7500
Ir 0.2500 0.7500 0.2500
Ir 0.7500 0.2500 0.2500
Ir 0.7500 0.7500 0.7500
Pt 0.2500 0.2500 0.2500
Pt 0.2500 0.7500 0.7500
Pt 0.7500 0.2500 0.7500
Pt 0.7500 0.7500 0.2500

# 5
## AlZn2Hg (PBE)

Data for a geometry-optimized AlZn2Hg structure.

Summary:
The polymorph energy (0 for the lowest one) comes out at 9.9 kJ per mole of atoms. Its formation enthalpy at 0 K is 0.84 eV/f.u. The value obtained for the total energy is -1.437 eV/atom.

Cell: 7.6143 7.6143 5.5085 Å, 90.00 90.00 90.00°
Sites, in units of the cell vectors:
Al 0.0000 0.0000 0.0000
Al 0.0000 0.5000 0.2500
Al 0.5000 0.0000 0.7500
Al 0.5000 0.5000 0.5000
Zn 0.2344 0.7500 0.1250
Zn 0.2500 0.2344 0.8750
Zn 0.2500 0.2656 0.3750
Zn 0.2656 0.7500 0.6250
Zn 0.7344 0.2500 0.6250
Zn 0.7500 0.7344 0.3750
Zn 0.7500 0.7656 0.8750
Zn 0.7656 0.2500 0.1250
Hg 0.0000 0.0000 0.5000
Hg 0.0000 0.5000 0.7500
Hg 0.5000 0.0000 0.2500
Hg 0.5000 0.5000 0.0000

# 6
## KGa2Ag (PBE)

Data for a geometry-optimized KGa2Ag structure.

Summary:
Its formation enthalpy at 0 K is -0.29 eV/f.u. The value obtained for the total energy is -2.574 eV/atom.

Cell: 4.5545 4.5545 18.4461 Å, 90.00 90.00 120.00°
Sites, in units of the cell vectors:
K 0.0000 0.0000 0.0000
K 0.3333 0.6667 0.6667
K 0.6667 0.3333 0.3333
Ga 0.0000 0.0000 0.1960
Ga 0.0000 0.0000 0.8040
Ga 0.3333 0.6667 0.4707
Ga 0.3333 0.6667 0.8626
Ga 0.6667 0.3333 0.1374
Ga 0.6667 0.3333 0.5293
Ag 0.0000 0.0000 0.5000
Ag 0.3333 0.6667 0.1667
Ag 0.6667 0.3333 0.8333